! Re2TeMo (PBE, relaxed); values from VASP
! Formation energy without anion corrections (eV/atom): 0.58
! Magnetic moment (μB/cell): 0.00
! Symmetry: No. 166
! DOS(E_F) (states/eV/atom): 0.8085
&SYSTEM
  ibrav = 0, nat = 4, ntyp = 3
/
ATOMIC_SPECIES
Re 186.21 Re.upf
Mo 95.94 Mo.upf
Te 127.60 Te.upf
CELL_PARAMETERS angstrom
-2.498 -7.946 3.281
-1.598 -8.791 0.558
0.394 -8.504 2.769
ATOMIC_POSITIONS crystal
Re 0.496 0.496 0.496
Mo 0.750 0.750 0.750
Te 0.250 0.250 0.250
Re 0.004 0.004 0.004